No. 1
# BaSr4Cr (GGA-PBE, optimized geometry)
data_BaSr4Cr
_symmetry_space_group_name_H-M 'F -4 3 m'
_symmetry_Int_Tables_number 216
_symmetry_space_group_name_Hall 'F -4 2 3'
_cell_length_a 10.828
_cell_length_b 10.828
_cell_length_c 10.828
_cell_angle_alpha 90.00
_cell_angle_beta 90.00
_cell_angle_gamma 90.00
loop_
_atom_site_label
_atom_site_type_symbol
_atom_site_fract_x
_atom_site_fract_y
_atom_site_fract_z
_atom_site_occupancy
Ba1 Ba 0.000 0.000 0.000 1
Sr1 Sr 0.125 0.125 0.375 1
Cr1 Cr 0.250 0.250 0.750 1
# Crystal system: cubic
# Electronic total energy in eV/atom: -2.472
# Mass density in Mg/m³: 2.824
# Energy of formation from the pure elements in meV/atom: 574


No. 2
# LiEr6S5 (GGA-PBE, optimized geometry)
data_LiEr6S5
_symmetry_space_group_name_H-M 'P 63/m c m'
_symmetry_Int_Tables_number 193
_symmetry_space_group_name_Hall '-P 6c 2'
_cell_length_a 6.5260
_cell_length_b 6.5260
_cell_length_c 13.5582
_cell_angle_alpha 90.00
_cell_angle_beta 90.00
_cell_angle_gamma 120.00
loop_
_atom_site_label
_atom_site_type_symbol
_atom_site_fract_x
_atom_site_fract_y
_atom_site_fract_z
_atom_site_occupancy
Li1 Li 0.0000 0.0000 0.2500 1
Er1 Er 0.0000 0.3350 0.1141 1
S1 S 0.0000 0.3442 0.7500 1
S2 S 0.3333 0.6667 0.0000 1
# Uncorrected formation energy in eV/atom: -1.523
# Crystal system: hexagonal
# Electronic total energy in eV/atom: -5.684
# Mass density in Mg/m³: 7.776


No. 3
# PrGa2Fe2C (GGA-PBE, optimized geometry)
data_PrGa2Fe2C
_symmetry_space_group_name_H-M 'P 4/m m m'
_symmetry_Int_Tables_number 123
_symmetry_space_group_name_Hall '-P 4 2'
_cell_length_a 3.897
_cell_length_b 3.897
_cell_length_c 5.716
_cell_angle_alpha 90.00
_cell_angle_beta 90.00
_cell_angle_gamma 90.00
loop_
_atom_site_label
_atom_site_type_symbol
_atom_site_fract_x
_atom_site_fract_y
_atom_site_fract_z
_atom_site_occupancy
Pr1 Pr 0.000 0.000 0.000 1
Ga1 Ga 0.500 0.500 0.234 1
Fe1 Fe 0.000 0.500 0.500 1
C1 C 0.000 0.000 0.500 1
# Crystal system: tetragonal
# Electronic total energy in eV/atom: -6.449
# Mass density in Mg/m³: 7.729
# Energy of formation from the pure elements in meV/atom: -285


No. 4
# Li11Hg9Pt4 (GGA-PBE, optimized geometry)
data_Li11Hg9Pt4
_symmetry_space_group_name_H-M 'C m m m'
_symmetry_Int_Tables_number 65
_symmetry_space_group_name_Hall '-C 2 2'
_cell_length_a 13.693
_cell_length_b 20.274
_cell_length_c 3.029
_cell_angle_alpha 90.00
_cell_angle_beta 90.00
_cell_angle_gamma 90.00
loop_
_atom_site_label
_atom_site_type_symbol
_atom_site_fract_x
_atom_site_fract_y
_atom_site_fract_z
_atom_site_occupancy
Li1 Li 0.000 0.000 0.000 1
Li2 Li 0.000 0.158 0.000 1
Li3 Li 0.000 0.371 0.000 1
Li4 Li 0.196 0.500 0.000 1
Li5 Li 0.240 0.174 0.000 1
Hg1 Hg 0.000 0.500 0.500 1
Hg2 Hg 0.112 0.259 0.500 1
Hg3 Hg 0.141 0.077 0.500 1
Pt1 Pt 0.150 0.400 0.500 1
# Crystal system: orthorhombic
# Electronic total energy in eV/atom: -2.379
# Mass density in Mg/m³: 10.514
# Energy of formation from the pure elements in meV/atom: -381


No. 5
# Si2IrSe (GGA-PBE, optimized geometry)
data_Si2IrSe
_symmetry_space_group_name_H-M 'P 4/m m m'
_symmetry_Int_Tables_number 123
_symmetry_space_group_name_Hall '-P 4 2'
_cell_length_a 4.685
_cell_length_b 4.685
_cell_length_c 2.837
_cell_angle_alpha 90.00
_cell_angle_beta 90.00
_cell_angle_gamma 90.00
loop_
_atom_site_label
_atom_site_type_symbol
_atom_site_fract_x
_atom_site_fract_y
_atom_site_fract_z
_atom_site_occupancy
Si1 Si 0.000 0.500 0.000 1
Ir1 Ir 0.000 0.000 0.500 1
Se1 Se 0.500 0.500 0.500 1
# Uncorrected formation energy in eV/atom: 0.404
# Crystal system: tetragonal
# Electronic total energy in eV/atom: -5.394
# Mass density in Mg/m³: 8.728


No. 6
# Y2Nb2N3 (GGA-PBE, optimized geometry)
data_Y2Nb2N3
_symmetry_space_group_name_H-M 'C 1 2/m 1'
_symmetry_Int_Tables_number 12
_symmetry_space_group_name_Hall '-C 2y'
_cell_length_a 11.379
_cell_length_b 3.356
_cell_length_c 5.670
_cell_angle_alpha 90.00
_cell_angle_beta 108.40
_cell_angle_gamma 90.00
loop_
_atom_site_label
_atom_site_type_symbol
_atom_site_fract_x
_atom_site_fract_y
_atom_site_fract_z
_atom_site_occupancy
Y1 Y 0.114 0.000 0.342 1
Nb1 Nb 0.150 0.500 0.847 1
N1 N 0.000 0.500 0.500 1
N2 N 0.250 0.000 0.753 1
# Uncorrected formation energy in eV/atom: -1.241
# Crystal system: monoclinic
# Electronic total energy in eV/atom: -9.533
# Mass density in Mg/m³: 6.557


No. 7
# Er4TmCu5 (GGA-PBE, optimized geometry)
data_Er4TmCu5
_symmetry_space_group_name_H-M 'P 4/m m m'
_symmetry_Int_Tables_number 123
_symmetry_space_group_name_Hall '-P 4 2'
_cell_length_a 3.409
_cell_length_b 3.409
_cell_length_c 17.350
_cell_angle_alpha 90.00
_cell_angle_beta 90.00
_cell_angle_gamma 90.00
loop_
_atom_site_label
_atom_site_type_symbol
_atom_site_fract_x
_atom_site_fract_y
_atom_site_fract_z
_atom_site_occupancy
Er1 Er 0.000 0.000 0.100 1
Er2 Er 0.000 0.000 0.300 1
Tm1 Tm 0.000 0.000 0.500 1
Cu1 Cu 0.500 0.500 0.000 1
Cu2 Cu 0.500 0.500 0.200 1
Cu3 Cu 0.500 0.500 0.401 1
# Crystal system: tetragonal
# Electronic total energy in eV/atom: -4.605
# Mass density in Mg/m³: 9.518
# Energy of formation from the pure elements in meV/atom: -285


No. 8
# MgMoPb2 (GGA-PBE, optimized geometry)
data_MgMoPb2
_symmetry_space_group_name_H-M 'C m m m'
_symmetry_Int_Tables_number 65
_symmetry_space_group_name_Hall '-C 2 2'
_cell_length_a 3.822
_cell_length_b 5.213
_cell_length_c 9.515
_cell_angle_alpha 90.00
_cell_angle_beta 90.00
_cell_angle_gamma 90.00
loop_
_atom_site_label
_atom_site_type_symbol
_atom_site_fract_x
_atom_site_fract_y
_atom_site_fract_z
_atom_site_occupancy
Mg1 Mg 0.000 0.000 0.000 1
Mo1 Mo 0.000 0.000 0.500 1
Pb1 Pb 0.000 0.500 0.273 1
# Crystal system: orthorhombic
# Electronic total energy in eV/atom: -4.454
# Mass density in Mg/m³: 9.366
# Energy of formation from the pure elements in meV/atom: 507